Entry 1:
The following is a GGA-PBE calculation of KCd2Sb after structural relaxation, from the Alexandria database.

Structure (POSCAR):
```
KCd2Sb
1.0
-4.587 4.587 3.377
4.587 -4.587 3.377
4.587 4.587 -3.377
K Cd Sb
2 4 2
Direct
0.000 0.000 0.000 K
0.750 0.250 0.500 K
0.199 0.625 0.074 Cd
0.375 0.449 0.574 Cd
0.551 0.125 0.926 Cd
0.875 0.801 0.426 Cd
0.250 0.750 0.500 Sb
0.500 0.500 0.000 Sb
```

Results
As for the density: 4.506 g/cm3. Its density of states at the Fermi level is 1.894 states/eV per cell. The value obtained for the calculated volume is 35.53 A^3/atom. The value obtained for the electronic total energy is -14.320 eV for the cell shown. As for the crystal system: tetragonal.

=====

Entry 2:
The following is a GGA-PBE calculation of Ac12Pr5Dy after structural relaxation, from the Alexandria database.

Structure (POSCAR):
```
Ac12Pr5Dy
1.0
10.091 -5.856 0.000
10.091 5.856 0.000
-2.171 0.000 6.367
Ac Pr Dy
12 5 1
Direct
0.002 0.330 0.499 Ac
0.163 0.837 0.000 Ac
0.169 0.498 0.999 Ac
0.330 0.002 0.499 Ac
0.334 0.666 0.500 Ac
0.498 0.169 0.999 Ac
0.502 0.831 0.001 Ac
0.666 0.334 0.500 Ac
0.670 0.998 0.501 Ac
0.831 0.502 0.001 Ac
0.837 0.163 0.000 Ac
0.998 0.670 0.501 Ac
0.166 0.166 0.997 Pr
0.333 0.333 0.499 Pr
0.500 0.500 0.000 Pr
0.667 0.667 0.501 Pr
0.834 0.834 0.003 Pr
0.000 0.000 0.500 Dy
```

Results
As for the density: 7.924 g/cm3. Its density of states at the Fermi level is 32.379 states/eV per cell. As for the formation energy: 0.0347 eV per atom. The value obtained for the calculated volume is 41.81 A^3/atom. As for the crystal system: monoclinic.

=====

Entry 3:
The following is a GGA-PBE calculation of CaLaSb after structural relaxation, from the Alexandria database.

Structure (POSCAR):
```
CaLaSb
1.0
0.000 3.752 3.752
3.752 0.000 3.752
3.752 3.752 0.000
Ca La Sb
1 1 1
Direct
0.000 0.000 0.000 Ca
0.500 0.500 0.500 La
0.750 0.750 0.750 Sb
```

Results
As for the density: 4.728 g/cm3. Its density of states at the Fermi level is 3.199 states/eV per cell. The value obtained for the calculated volume is 35.21 A^3/atom. The value obtained for the electronic total energy is -13.129 eV for the cell shown. As for the crystal system: cubic.

=====

Entry 4:
The following is a GGA-PBE calculation of CePmGeAu after structural relaxation, from the Alexandria database.

Structure (POSCAR):
```
CePmGeAu
1.0
4.421 0.000 0.000
0.000 2.090 5.579
0.000 -2.090 5.579
Ce Pm Ge Au
1 1 1 1
Direct
0.000 0.000 0.000 Ce
0.500 0.277 0.277 Pm
0.500 0.553 0.553 Ge
0.000 0.719 0.719 Au
```

Results
As for the density: 8.937 g/cm3. Its density of states at the Fermi level is 7.264 states/eV per cell. As for the formation energy: -0.7368 eV per atom. The value obtained for the calculated volume is 25.77 A^3/atom. As for the crystal system: orthorhombic.